Entry 1:
The following is a SCAN calculation of ScAsSN2 at its PBEsol-relaxed geometry, from Alexandria via LeMat-Bulk.

abc: 3.966 3.966 5.097
angles: 90.00 90.00 90.00
Space group P4/mmm (No. 123)
One atom of each set of equivalent atoms:
Sc1 0.000 0.000 0.000 x1
As1 0.500 0.500 0.500 x1
S1 0.000 0.000 0.500 x1
N1 0.000 0.500 0.000 x2

Results
formation energy from raw total energies = 3.86 eV per formula unit


Entry 2:
The following is a SCAN calculation of SnAsS2N at its PBEsol-relaxed geometry, from Alexandria via LeMat-Bulk.

abc: 4.875 4.875 3.640
angles: 90.00 90.00 90.00
Space group P4/mmm (No. 123)
One atom of each set of equivalent atoms:
Sn1 0.000 0.000 0.000 x1
As1 0.500 0.500 0.500 x1
S1 0.000 0.500 0.500 x2
N1 0.500 0.500 0.000 x1

Results
formation energy from raw total energies = 2.80 eV per formula unit